#A
Pm12Y5Th2 | GGA-PBE | optimized geometry

Properties
symmetry: C2/m, No. 12

abc: 9.2155 9.2155 8.8076
angles: 92.16 92.16 61.03
Closest atoms and distances in Å follow each position.
Sites, in units of the cell vectors:
Pm 0.0591 0.0591 0.3424  2 Y 3.36-3.64, 7 Pm 3.42-3.69, 2 Th 3.48
Pm 0.0669 0.6708 0.3133  5 Pm 3.45-3.71, 4 Y 3.45-3.84, 1 Th 3.54
Pm 0.1726 0.5316 0.7608  4 Pm 3.36-3.72, 1 Th 3.41, 3 Y 3.54-3.75
Pm 0.3292 0.9331 0.6867  5 Pm 3.45-3.71, 4 Y 3.45-3.84, 1 Th 3.54
Pm 0.4266 0.4266 0.1186  3 Pm 3.20-3.45, 2 Y 3.51-3.52, 2 Th 3.51
Pm 0.4684 0.8274 0.2392  4 Pm 3.36-3.72, 1 Th 3.41, 3 Y 3.54-3.75
Pm 0.5316 0.1726 0.7608  4 Pm 3.36-3.72, 1 Th 3.41, 3 Y 3.54-3.75
Pm 0.5734 0.5734 0.8814  3 Pm 3.20-3.45, 2 Y 3.51-3.52, 2 Th 3.51
Pm 0.6708 0.0669 0.3133  5 Pm 3.45-3.71, 4 Y 3.45-3.84, 1 Th 3.54
Pm 0.8274 0.4684 0.2392  4 Pm 3.36-3.72, 1 Th 3.41, 3 Y 3.54-3.75
Pm 0.9331 0.3292 0.6867  5 Pm 3.45-3.71, 4 Y 3.45-3.84, 1 Th 3.54
Pm 0.9409 0.9409 0.6576  2 Y 3.36-3.64, 7 Pm 3.42-3.69, 2 Th 3.48
Y 0.2071 0.2071 0.0386  8 Pm 3.52-3.82, 1 Y 3.58, 2 Th 3.64
Y 0.2668 0.2668 0.4350  7 Pm 3.36-3.66, 2 Y 3.58-3.72
Y 0.5000 0.5000 0.5000  10 Pm 3.51-3.84, 2 Y 3.72
Y 0.7332 0.7332 0.5650  7 Pm 3.36-3.66, 2 Y 3.58-3.72
Y 0.7929 0.7929 0.9614  8 Pm 3.52-3.82, 1 Y 3.58, 2 Th 3.64
Th 0.1658 0.8342 0.0000  1 Th 3.10, 2 Pm 3.41
Th 0.8342 0.1658 0.0000  1 Th 3.10, 2 Pm 3.41

---

#B
Pm12Y5Th2 | GGA-PBE | optimized geometry

Properties
symmetry: C2/m, No. 12

abc: 11.7430 11.7430 8.7644
angles: 109.08 109.08 35.21
Closest atoms and distances in Å follow each position.
Sites, in units of the cell vectors:
Pm 0.0463 0.0463 0.1994  5 Pm 3.40-3.70, 1 Y 3.46, 2 Th 3.61
Pm 0.0468 0.5530 0.7065  7 Pm 3.45-3.79, 4 Y 3.55-3.68
Pm 0.1375 0.6492 0.1125  4 Y 3.41-3.50, 1 Th 3.42, 5 Pm 3.45-3.70
Pm 0.3508 0.8625 0.8875  4 Y 3.41-3.50, 1 Th 3.42, 5 Pm 3.45-3.70
Pm 0.3597 0.3597 0.4417  2 Th 3.49, 6 Pm 3.54-3.79, 3 Y 3.57-3.74
Pm 0.4470 0.9532 0.2935  7 Pm 3.45-3.79, 4 Y 3.55-3.68
Pm 0.5530 0.0468 0.7065  7 Pm 3.45-3.79, 4 Y 3.55-3.68
Pm 0.6403 0.6403 0.5583  2 Th 3.49, 6 Pm 3.54-3.79, 3 Y 3.57-3.74
Pm 0.6492 0.1375 0.1125  4 Y 3.41-3.50, 1 Th 3.42, 5 Pm 3.45-3.70
Pm 0.8625 0.3508 0.8875  4 Y 3.41-3.50, 1 Th 3.42, 5 Pm 3.45-3.70
Pm 0.9532 0.4470 0.2935  7 Pm 3.45-3.79, 4 Y 3.55-3.68
Pm 0.9537 0.9537 0.8006  5 Pm 3.40-3.70, 1 Y 3.46, 2 Th 3.61
Y 0.1495 0.1495 0.5971  9 Pm 3.46-3.68, 1 Y 3.54, 2 Th 3.62
Y 0.2511 0.2511 0.0083  9 Pm 3.50-3.74, 3 Y 3.54-3.55
Y 0.5000 0.5000 0.0000  4 Pm 3.41
Y 0.7489 0.7489 0.9917  9 Pm 3.50-3.74, 3 Y 3.54-3.55
Y 0.8505 0.8505 0.4029  9 Pm 3.46-3.68, 1 Y 3.54, 2 Th 3.62
Th 0.2496 0.7504 0.5000  6 Pm 3.42-3.61, 2 Th 3.55-3.56, 2 Y 3.62
Th 0.7504 0.2496 0.5000  6 Pm 3.42-3.61, 2 Th 3.55-3.56, 2 Y 3.62

---

Quick one: most stable of them? #A

---

#A
Pm3Y4Th2 | GGA-PBE | optimized geometry

Properties
symmetry: C2/c, No. 15

abc: 9.9036 9.9036 6.3587
angles: 98.27 98.27 83.85
Closest atoms and distances in Å follow each position.
Sites, in units of the cell vectors:
Pm 0.0340 0.9660 0.7500  2 Pm 3.30, 4 Th 3.55-3.57, 2 Y 3.58
Pm 0.3372 0.4509 0.0094  2 Th 3.28-3.50, 3 Y 3.42-3.59, 3 Pm 3.49-3.52
Pm 0.4509 0.3372 0.5094  2 Th 3.28-3.50, 3 Y 3.42-3.59, 3 Pm 3.49-3.52
Pm 0.5491 0.6628 0.4906  2 Th 3.28-3.50, 3 Y 3.42-3.59, 3 Pm 3.49-3.52
Pm 0.6628 0.5491 0.9906  2 Th 3.28-3.50, 3 Y 3.42-3.59, 3 Pm 3.49-3.52
Pm 0.9660 0.0340 0.2500  2 Pm 3.30, 4 Th 3.55-3.57, 2 Y 3.58
Y 0.0030 0.3702 0.1340  2 Y 3.27-3.45, 3 Th 3.42-3.53, 1 Pm 3.58
Y 0.2074 0.6322 0.4791  1 Th 3.39, 3 Pm 3.42-3.59, 3 Y 3.45-3.78
Y 0.3678 0.7926 0.0209  1 Th 3.39, 3 Pm 3.42-3.59, 3 Y 3.45-3.78
Y 0.3702 0.0030 0.6340  2 Y 3.27-3.45, 3 Th 3.42-3.53, 1 Pm 3.58
Y 0.6298 0.9970 0.3660  2 Y 3.27-3.45, 3 Th 3.42-3.53, 1 Pm 3.58
Y 0.6322 0.2074 0.9791  1 Th 3.39, 3 Pm 3.42-3.59, 3 Y 3.45-3.78
Y 0.7926 0.3678 0.5209  1 Th 3.39, 3 Pm 3.42-3.59, 3 Y 3.45-3.78
Y 0.9970 0.6298 0.8660  2 Y 3.27-3.45, 3 Th 3.42-3.53, 1 Pm 3.58
Th 0.1322 0.2803 0.6390  4 Pm 3.28-3.57, 4 Y 3.39-3.53
Th 0.2803 0.1322 0.1390  4 Pm 3.28-3.57, 4 Y 3.39-3.53
Th 0.7197 0.8678 0.8610  4 Pm 3.28-3.57, 4 Y 3.39-3.53
Th 0.8678 0.7197 0.3610  4 Pm 3.28-3.57, 4 Y 3.39-3.53

---

#B
Pm3Y4Th2 | GGA-PBE | optimized geometry

Properties
symmetry: C2/m, No. 12

abc: 8.8310 8.8310 6.4158
angles: 104.72 104.72 38.57
Closest atoms and distances in Å follow each position.
Sites, in units of the cell vectors:
Pm 0.0000 0.0000 0.0000  6 Y 3.63-3.66, 4 Pm 3.68-3.95, 4 Th 3.92
Pm 0.1282 0.1282 0.5643  4 Y 3.43-3.59, 3 Th 3.47-3.63, 1 Pm 3.68
Pm 0.8718 0.8718 0.4357  4 Y 3.43-3.59, 3 Th 3.47-3.63, 1 Pm 3.68
Y 0.2278 0.2278 0.1324  3 Y 3.38-3.55, 3 Th 3.48-3.75, 3 Pm 3.57-3.66
Y 0.4382 0.4382 0.2561  2 Y 3.25-3.38, 3 Th 3.39-3.57, 4 Pm 3.43-3.63
Y 0.5618 0.5618 0.7439  2 Y 3.25-3.38, 3 Th 3.39-3.57, 4 Pm 3.43-3.63
Y 0.7722 0.7722 0.8676  3 Y 3.38-3.55, 3 Th 3.48-3.75, 3 Pm 3.57-3.66
Th 0.3543 0.3543 0.7127  6 Y 3.39-3.75, 3 Pm 3.47-3.63
Th 0.6457 0.6457 0.2873  6 Y 3.39-3.75, 3 Pm 3.47-3.63

---

Quick one: most stable of them? #B

---

#A
PmY2Th2 | GGA-PBE | optimized geometry

Properties
symmetry: P-3m1, No. 164

abc: 3.5841 3.5841 14.7085
angles: 90.00 90.00 120.00
Closest atoms and distances in Å follow each position.
Sites, in units of the cell vectors:
Pm 0.0000 0.0000 0.0000  6 Pm 3.58, 6 Y 3.60
Y 0.3333 0.6667 0.7996  6 Y 3.58, 3 Pm 3.60, 3 Th 3.62
Y 0.6667 0.3333 0.2004  6 Y 3.58, 3 Pm 3.60, 3 Th 3.62
Th 0.3333 0.6667 0.4020  9 Th 3.55-3.58, 3 Y 3.62
Th 0.6667 0.3333 0.5980  9 Th 3.55-3.58, 3 Y 3.62

---

#B
PmY2Th2 | GGA-PBE | optimized geometry

Properties
symmetry: R-3m, No. 166

abc: 3.5956 3.5956 43.7781
angles: 90.00 90.00 120.00
Closest atoms and distances in Å follow each position.
Sites, in units of the cell vectors:
Pm 0.0000 0.0000 0.0000  6 Pm 3.60, 6 Y 3.63
Pm 0.3333 0.6667 0.6667  6 Pm 3.60, 6 Y 3.63
Pm 0.6667 0.3333 0.3333  6 Pm 3.60, 6 Y 3.63
Y 0.0000 0.0000 0.4014  3 Th 3.57, 6 Y 3.60, 3 Pm 3.63
Y 0.0000 0.0000 0.5986  3 Th 3.57, 6 Y 3.60, 3 Pm 3.63
Y 0.3333 0.6667 0.0680  3 Th 3.57, 6 Y 3.60, 3 Pm 3.63
Y 0.3333 0.6667 0.2653  3 Th 3.57, 6 Y 3.60, 3 Pm 3.63
Y 0.6667 0.3333 0.7347  3 Th 3.57, 6 Y 3.60, 3 Pm 3.63
Y 0.6667 0.3333 0.9320  3 Th 3.57, 6 Y 3.60, 3 Pm 3.63
Th 0.0000 0.0000 0.1989  9 Th 3.50-3.60, 3 Y 3.57
Th 0.0000 0.0000 0.8011  9 Th 3.50-3.60, 3 Y 3.57
Th 0.3333 0.6667 0.4678  9 Th 3.50-3.60, 3 Y 3.57
Th 0.3333 0.6667 0.8655  9 Th 3.50-3.60, 3 Y 3.57
Th 0.6667 0.3333 0.1345  9 Th 3.50-3.60, 3 Y 3.57
Th 0.6667 0.3333 0.5322  9 Th 3.50-3.60, 3 Y 3.57

---

Quick one: most stable of them? #B